1.
Entry from Alexandria: a geometry-optimized PuIn2O6 structure (GGA-PBE).

Geometry as POSCAR:
```
PuIn2O6
1.0
-3.953 1.117 -2.873
-1.189 -4.863 -0.255
-5.636 0.952 8.125
O In Pu
12 4 2
Cartesian
-5.348 0.299 0.400 O
-7.137 0.601 2.979 O
-3.392 -0.095 -2.342 O
-3.640 -3.395 2.017 O
-6.431 -2.156 1.864 O
-2.483 -1.006 0.323 O
-4.347 -0.638 3.132 O
-6.330 -0.357 5.869 O
-4.448 -2.437 -0.872 O
-8.295 -1.788 4.673 O
-1.749 -3.651 -0.786 O
-5.430 -3.093 4.597 O
-0.931 0.157 1.342 In
-4.705 0.794 6.783 In
-6.320 -1.240 3.840 In
-4.458 -1.554 1.157 In
-2.818 0.476 4.062 Pu
-2.571 -1.873 -1.564 Pu
```

Values from the calculation:
crystal system: tetragonal
symmetry: P4_2/mnm, No. 136
raw formation energy: -1933 meV/atom
M_tot: 2.0 μB/f.u.
final energy: -7.44 eV per atom
DOS(E_F): 4.4 states/eV/f.u.
calculated volume: 13.866 Å³/atom

---

2.
Entry from Alexandria: a geometry-optimized Mg2AlAg structure (GGA-PBE).

Geometry as POSCAR:
```
Mg2AlAg
1.0
-2.143 -3.939 -0.701
-1.120 -0.366 5.481
-4.880 3.082 -2.405
Mg Al Ag
4 2 2
Cartesian
-3.863 -1.717 -0.583 Mg
-1.871 -1.049 4.268 Mg
-6.271 -0.174 -1.893 Mg
-4.279 0.494 2.959 Mg
-4.489 1.124 0.059 Al
-3.653 -2.347 2.317 Al
-6.165 -0.751 1.025 Ag
-1.977 -0.472 1.351 Ag
```

Values from the calculation:
crystal system: monoclinic
formation energy: -0.106 eV per atom
symmetry: P2_1/m, No. 11
M_tot: 0.0 μB/f.u.
final energy: -2.55 eV per atom
DOS(E_F): 0.8 states/eV/f.u.
calculated volume: 19.242 Å³/atom

---

3.
Entry from Alexandria: a geometry-optimized BaSc2Mn structure (GGA-PBE).

Geometry as POSCAR:
```
BaSc2Mn
1.0
-3.915 -0.299 -3.152
-0.915 -1.707 -4.648
-3.019 -6.874 0.417
Sc Mn Ba
2 1 1
Cartesian
-6.095 -7.268 -5.383 Sc
-4.890 -2.552 -7.406 Sc
-1.434 -1.090 -1.850 Mn
-4.185 -4.418 -4.235 Ba
```

Values from the calculation:
crystal system: monoclinic
formation energy: 0.437 eV per atom
symmetry: Cm, No. 8
M_tot: 1.6 μB/f.u.
energy above the lowest structure with this stoichiometry: 199 meV per atom
final energy: -5.50 eV per atom
DOS(E_F): 5.3 states/eV/f.u.
calculated volume: 29.994 Å³/atom

---

4.
Entry from Alexandria: a geometry-optimized K12Ag3S5 structure (GGA-PBE).

Geometry as POSCAR:
```
K12Ag3S5
1.0
-9.221 -10.600 9.291
16.224 -1.428 4.295
-5.160 15.800 2.727
S K Ag
20 48 12
Cartesian
-7.238 0.243 10.907 S
1.289 -2.917 10.675 S
5.532 7.186 3.511 S
0.000 0.000 0.000 S
-0.047 -2.357 4.899 S
0.554 6.690 5.637 S
-9.403 5.697 9.891 S
8.112 -0.714 2.147 S
7.143 -3.924 10.246 S
-2.580 7.900 1.363 S
-7.191 2.600 6.009 S
-5.300 7.697 6.066 S
9.080 3.529 5.405 S
1.890 6.129 11.414 S
-1.798 1.683 12.859 S
-4.611 -5.300 4.645 S
11.246 -1.924 6.421 S
3.641 2.090 3.454 S
0.921 1.886 8.156 S
3.502 -6.014 6.793 S
-4.243 -6.167 11.540 K
3.401 2.338 6.387 K
-5.788 -2.330 10.827 K
11.987 3.882 5.802 K
-0.818 7.068 10.695 K
7.082 -9.642 11.641 K
-6.816 5.465 11.297 K
-3.801 9.082 3.930 K
-10.144 -0.110 10.510 K
2.241 -2.557 13.448 K
0.841 1.789 14.182 K
-0.552 4.376 7.105 K
-0.337 9.260 6.789 K
6.615 10.971 9.249 K
-4.296 8.394 8.755 K
2.214 12.163 4.249 K
-2.157 -4.077 6.046 K
13.398 -0.454 5.031 K
2.661 -3.296 5.617 K
1.002 1.984 2.130 K
-6.280 -3.348 6.343 K
-1.659 -3.020 10.520 K
5.185 -0.396 3.047 K
-0.399 6.329 2.864 K
-5.072 0.706 4.823 K
2.180 -5.488 9.523 K
-5.001 4.762 5.903 K
8.123 7.121 9.969 K
5.644 -5.310 12.382 K
6.844 -0.990 10.409 K
8.658 -1.693 5.015 K
2.455 3.442 10.326 K
4.000 7.850 10.266 K
2.395 -0.604 9.208 K
6.086 9.940 4.772 K
-0.612 0.331 5.987 K
7.631 6.102 5.485 K
-11.555 4.226 11.281 K
-3.342 4.169 13.265 K
-6.012 1.849 8.752 K
-0.371 -8.391 12.063 K
-5.239 13.415 4.671 K
-1.558 1.434 9.925 K
3.502 6.793 5.792 K
-4.772 -7.199 7.063 K
7.855 1.924 7.560 K
6.139 -4.621 7.557 K
6.915 3.066 11.489 K
-1.477 -6.511 8.919 Ag
3.455 -8.371 11.691 Ag
-3.549 4.690 9.462 Ag
4.055 0.676 12.430 Ag
5.485 4.829 8.409 Ag
3.320 10.283 7.393 Ag
-1.612 12.143 4.621 Ag
-2.212 3.097 3.882 Ag
-3.642 -1.057 7.903 Ag
9.173 9.276 6.964 Ag
-7.330 -5.504 9.348 Ag
5.392 -0.917 6.850 Ag
```

Values from the calculation:
crystal system: cubic
symmetry: Ia-3d, No. 230
raw formation energy: -539 meV/atom
M_tot: 1.4 μB/f.u.
final energy: -2.66 eV per atom
DOS(E_F): 26.0 states/eV/f.u.
calculated volume: 45.983 Å³/atom